{"formula": "La4SI2N", "functional": "GGA-PBE", "state": "relaxed", "lattice": [[4.047, 0.000, 0.000], [0.000, 7.141, 0.172], [0.000, -2.484, 7.735]], "species": ["La", "La", "La", "La", "S", "I", "I", "N"], "frac_coords": [[0.500, 0.262, 0.181], [0.500, 0.738, 0.819], [0.000, 0.299, 0.823], [0.000, 0.701, 0.177], [0.000, 0.000, 0.000], [0.500, 0.000, 0.500], [0.000, 0.500, 0.500], [0.500, 0.500, 0.000]], "density_g_cm3": 6.31, "total_energy_ev_per_fu": -46.64, "formation_energy_uncorrected_mev_per_atom": -1422}